(1)
! Ba2YTmS5 | Alexandria | GGA-PBE | optimized geometry; values from VASP
! Crystal system = orthorhombic
&SYSTEM
  ibrav = 0, nat = 18, ntyp = 4
/
ATOMIC_SPECIES
Ba 137.33 Ba.upf
S 32.06 S.upf
Y 88.91 Y.upf
Tm 168.93 Tm.upf
CELL_PARAMETERS angstrom
-1.640 -1.132 -3.752
8.653 -1.919 -0.798
-2.340 -12.550 4.808
ATOMIC_POSITIONS crystal
Ba 0.103 0.206 0.681
S 0.278 0.556 0.649
S 0.315 0.631 0.392
Ba 0.144 0.287 0.297
Y 0.531 0.063 0.956
S 0.628 0.256 0.496
S 0.722 0.444 0.149
Tm 0.783 0.566 0.519
S 0.372 0.744 0.996
S 0.509 0.017 0.273
S 0.685 0.369 0.892
Y 0.469 0.937 0.456
S 0.062 0.123 0.060
Ba 0.856 0.713 0.797
S 0.938 0.877 0.560
S 0.491 0.983 0.773
Ba 0.897 0.794 0.181
Tm 0.217 0.434 0.019


(2)
! BaYTm4S8 | Alexandria | GGA-PBE | optimized geometry; values from VASP
! Crystal system = trigonal
&SYSTEM
  ibrav = 0, nat = 14, ntyp = 4
/
ATOMIC_SPECIES
Ba 137.33 Ba.upf
S 32.06 S.upf
Tm 168.93 Tm.upf
Y 88.91 Y.upf
CELL_PARAMETERS angstrom
-5.617 -5.874 0.493
0.229 -6.295 -5.159
2.103 -7.425 2.728
ATOMIC_POSITIONS crystal
Ba 0.374 0.374 0.879
S 0.755 0.230 0.260
Tm 0.002 0.495 0.502
Tm 0.495 0.002 0.502
Y 0.002 0.002 0.994
S 0.234 0.805 0.727
S 0.805 0.234 0.727
S 0.231 0.231 0.307
S 0.757 0.757 0.728
Tm 0.625 0.625 0.125
Tm 0.002 0.002 0.502
S 0.755 0.755 0.260
S 0.230 0.755 0.260
S 0.234 0.234 0.727


(3)
! Ba2TmZnS5 | Alexandria | GGA-PBE | optimized geometry; values from VASP
! Crystal system = orthorhombic
&SYSTEM
  ibrav = 0, nat = 18, ntyp = 4
/
ATOMIC_SPECIES
S 32.06 S.upf
Ba 137.33 Ba.upf
Tm 168.93 Tm.upf
Zn 65.41 Zn.upf
CELL_PARAMETERS angstrom
4.093 0.000 0.000
-2.046 9.053 0.000
0.000 0.000 12.791
ATOMIC_POSITIONS crystal
S 0.298 0.596 0.658
Ba 0.118 0.236 0.690
Ba 0.872 0.743 0.824
Tm 0.798 0.596 0.519
S 0.501 0.002 0.279
Ba 0.882 0.764 0.190
S 0.653 0.306 0.510
S 0.347 0.694 0.010
Zn 0.559 0.117 0.937
S 0.312 0.624 0.376
S 0.499 0.998 0.779
S 0.702 0.404 0.158
S 0.049 0.097 0.031
Ba 0.128 0.257 0.324
Zn 0.441 0.883 0.437
S 0.688 0.376 0.876
S 0.951 0.903 0.531
Tm 0.202 0.404 0.019


(4)
! BaUS4 | Alexandria | GGA-PBE | optimized geometry; values from VASP
! Crystal system = orthorhombic
! Energy above the lowest structure with this stoichiometry = 75 kJ/mol of formula units
&SYSTEM
  ibrav = 0, nat = 12, ntyp = 3
/
ATOMIC_SPECIES
S 32.06 S.upf
Ba 137.33 Ba.upf
U 238.03 U.upf
CELL_PARAMETERS angstrom
-5.522 -2.166 -2.919
2.959 -0.587 -5.163
1.886 -7.398 1.922
ATOMIC_POSITIONS crystal
S 0.751 0.251 0.205
S 0.751 0.251 0.795
Ba 0.500 0.500 0.500
Ba 0.000 0.000 0.500
U 0.500 0.500 0.000
S 0.251 0.249 0.795
S 0.249 0.749 0.205
S 0.251 0.249 0.205
S 0.749 0.751 0.205
U 0.000 0.000 0.000
S 0.249 0.749 0.795
S 0.749 0.751 0.795


(5)
! BaU6S8 | Alexandria | GGA-PBE | optimized geometry; values from VASP
! Crystal system = trigonal
&SYSTEM
  ibrav = 0, nat = 15, ntyp = 3
/
ATOMIC_SPECIES
S 32.06 S.upf
U 238.03 U.upf
Ba 137.33 Ba.upf
CELL_PARAMETERS angstrom
7.405 -0.068 -0.070
-0.299 7.399 -0.070
-0.299 -0.309 7.393
ATOMIC_POSITIONS crystal
S 0.290 0.643 0.931
U 0.407 0.768 0.519
U 0.232 0.481 0.593
S 0.710 0.357 0.069
S 0.717 0.717 0.717
U 0.593 0.232 0.481
S 0.069 0.710 0.357
S 0.643 0.931 0.290
Ba 0.000 0.000 0.000
U 0.481 0.593 0.232
S 0.931 0.290 0.643
U 0.768 0.519 0.407
U 0.519 0.407 0.768
S 0.357 0.069 0.710
S 0.283 0.283 0.283


(6)
! Ba3U2S7 | Alexandria | GGA-PBE | optimized geometry; values from VASP
! Crystal system = orthorhombic
&SYSTEM
  ibrav = 0, nat = 12, ntyp = 3
/
ATOMIC_SPECIES
U 238.03 U.upf
Ba 137.33 Ba.upf
S 32.06 S.upf
CELL_PARAMETERS angstrom
-2.167 -4.671 -0.130
1.397 -0.789 5.056
-11.898 5.480 1.359
ATOMIC_POSITIONS crystal
U 0.000 0.897 0.794
Ba 0.500 0.680 0.360
S 0.000 0.598 0.196
S 0.500 0.899 0.798
Ba 0.500 0.500 0.000
U 0.000 0.103 0.206
S 0.000 0.204 0.408
S 0.000 0.796 0.592
S 0.000 0.000 0.000
S 0.000 0.402 0.804
S 0.500 0.101 0.202
Ba 0.500 0.320 0.640


Number 1: ΔE_f (raw) -18.62 eV/f.u.. Number 2: ΔE_f (raw) -27.33 eV/f.u.. Number 3: ΔE_f (raw) -14.47 eV/f.u.. Number 4: ΔE_f (raw) -7.28 eV/f.u.. Number 5: ΔE_f (raw) -16.80 eV/f.u.. Number 6: ΔE_f (raw) -19.82 eV/f.u..